Compound: TcBrOF2
Source: Alexandria via LeMat-Bulk
Functional: PBE
Structure: relaxed

Cell lengths 4.8761, 4.8761, 3.6805 Å; angles 90.00, 90.00, 90.00 degrees
Last column: magnetic moment on the atom in μB.
Sites, in units of the cell vectors:
O  0.0000  0.0000  0.5000  0.09
Tc  0.5000  0.5000  0.5000  4.02
Br  0.0000  0.0000  0.0000  0.11
F  0.0000  0.5000  0.0000  0.05
F  0.5000  0.0000  0.0000  0.05

Results
Energy relative to the elements, uncorrected (eV/atom): 0.429
Mass density (Mg/m³): 4.40